A relaxed structure of Br3Cl. Source: Alexandria, functional PBE-GGA.

Summary:
Total magnetic moment in μB/f.u.: 0.00
Formation energy (no corrections) in eV per atom: 0.7143

Cell: 4.6213 4.6213 4.6213 Å, 90.00 90.00 90.00°
Fractional positions:
Br 0.0000 0.5000 0.5000
Br 0.5000 0.0000 0.5000
Br 0.5000 0.5000 0.0000
Cl 0.0000 0.0000 0.0000